(a)
# Ag2GeC, relaxed, DFT PBE
data_Ag2GeC
_chemical_formula_sum 'Ag4 Ge2 C2'
_symmetry_space_group_name_H-M 'P 1'
_symmetry_Int_Tables_number 1
_cell_length_a 4.835
_cell_length_b 4.835
_cell_length_c 7.337
_cell_angle_alpha 70.76
_cell_angle_beta 70.76
_cell_angle_gamma 90.00
loop_
_symmetry_equiv_pos_as_xyz
'x,y,z'
loop_
_atom_site_label
_atom_site_fract_x
_atom_site_fract_y
_atom_site_fract_z
Ge1 0.000 0.000 0.000
Ge2 0.750 0.250 0.500
Ag1 0.516 0.125 0.250
Ag2 0.875 0.766 0.750
Ag3 0.234 0.625 0.250
Ag4 0.375 0.484 0.750
C1 0.500 0.500 0.000
C2 0.250 0.750 0.500
# ρ in g/cm3: 6.6
# DOS(E_F) in states/eV per atom: 0.17
# Space-group type: I-42d, No. 122

---

(b)
# Ag2GeC, relaxed, DFT PBE
data_Ag2GeC
_chemical_formula_sum 'Ag2 Ge1 C1'
_symmetry_space_group_name_H-M 'P 1'
_symmetry_Int_Tables_number 1
_cell_length_a 4.443
_cell_length_b 4.443
_cell_length_c 4.443
_cell_angle_alpha 60.00
_cell_angle_beta 60.00
_cell_angle_gamma 60.00
loop_
_symmetry_equiv_pos_as_xyz
'x,y,z'
loop_
_atom_site_label
_atom_site_fract_x
_atom_site_fract_y
_atom_site_fract_z
Ag1 0.750 0.750 0.750
Ag2 0.250 0.250 0.250
C1 0.000 0.000 0.000
Ge1 0.500 0.500 0.500
# ρ in g/cm3: 8.0
# DOS(E_F) in states/eV per atom: 0.41
# Space-group type: Fm-3m, No. 225

---

(a) has the most favorable energy; the next structure is 47 meV per atom above.

---

(a)
# AgGeC3, relaxed, DFT PBE
data_AgGeC3
_chemical_formula_sum 'Ag1 Ge1 C3'
_symmetry_space_group_name_H-M 'P 1'
_symmetry_Int_Tables_number 1
_cell_length_a 4.183
_cell_length_b 4.183
_cell_length_c 4.183
_cell_angle_alpha 90.00
_cell_angle_beta 90.00
_cell_angle_gamma 90.00
loop_
_symmetry_equiv_pos_as_xyz
'x,y,z'
loop_
_atom_site_label
_atom_site_fract_x
_atom_site_fract_y
_atom_site_fract_z
C1 0.000 0.000 0.500
C2 0.000 0.500 0.000
C3 0.500 0.000 0.000
Ag1 0.000 0.000 0.000
Ge1 0.500 0.500 0.500
# ρ in g/cm3: 4.9
# DOS(E_F) in states/eV per atom: 1.01
# Space-group type: Pm-3m, No. 221

---

(b)
# AgGeC3, relaxed, DFT PBE
data_AgGeC3
_chemical_formula_sum 'Ag1 Ge1 C3'
_symmetry_space_group_name_H-M 'P 1'
_symmetry_Int_Tables_number 1
_cell_length_a 3.998
_cell_length_b 3.998
_cell_length_c 3.998
_cell_angle_alpha 90.00
_cell_angle_beta 90.00
_cell_angle_gamma 90.00
loop_
_symmetry_equiv_pos_as_xyz
'x,y,z'
loop_
_atom_site_label
_atom_site_fract_x
_atom_site_fract_y
_atom_site_fract_z
C1 0.000 0.000 0.500
C2 0.500 0.000 0.000
C3 0.000 0.500 0.000
Ge1 0.000 0.000 0.000
Ag1 0.500 0.500 0.500
# ρ in g/cm3: 5.6
# DOS(E_F) in states/eV per atom: 0.63
# Space-group type: Pm-3m, No. 221

---

(b) has the most favorable energy; the next structure is 586 meV per atom above.